1.
Material: Li2TaFe
Method: DFT, PBE
State: optimized geometry

The energy of formation from the pure elements is 36.4 kJ per mole of atoms. Its density of states at the Fermi level is 3.33 states/eV/f.u. Its energy above the most stable polymorph in this dataset is 0.3180 eV per atom.

The structure belongs to space group Cm (No. 8); the cell edges are 9.026, 2.703 and 5.210 Å and the angles 90.00°, 108.64° and 90.00°. The inequivalent atoms are Li at (0.000, 0.000, 0.000), Li at (0.236, 0.000, 0.884), Ta at (0.288, 0.500, 0.423) and Fe at (0.034, 0.500, 0.468).


2.
Material: BaAgHg2Bi
Method: DFT, PBE
State: optimized geometry

The energy of formation from the pure elements is -33.7 kJ per mole of atoms. Its density of states at the Fermi level is 1.62 states/eV/f.u. Its energy above the most stable polymorph in this dataset is 0.0000 eV per atom.

The structure belongs to space group Imm2 (No. 44); the cell edges are 4.800, 4.976 and 12.773 Å and the angles 90.00°, 90.00° and 90.00°. The inequivalent atoms are Ba at (0.000, 0.000, 0.000), Ag at (0.000, 0.500, 0.750), Hg at (0.000, 0.000, 0.386), Hg at (0.000, 0.500, 0.272) and Bi at (0.000, 0.000, 0.619).


3.
Material: K2TlCoIr
Method: DFT, PBE
State: optimized geometry

The energy of formation from the pure elements is 80.4 kJ per mole of atoms. Its density of states at the Fermi level is 6.54 states/eV/f.u.

The structure belongs to space group P4/mmm (No. 123); the cell edges are 6.238, 6.238 and 4.464 Å and the angles 90.00°, 90.00° and 90.00°. The inequivalent atoms are K at (0.000, 0.500, 0.000), Tl at (0.000, 0.000, 0.500), Co at (0.500, 0.500, 0.500) and Ir at (0.500, 0.500, 0.000).